1.
# KRbBr | Alexandria | PBE-GGA | optimized geometry
# distance to the lowest polymorph of the same formula	0.020	eV/atom
# formation energy from raw total energies	-1.09	eV per atom
data_KRbBr
_cell_length_a 9.5851
_cell_length_b 5.6258
_cell_length_c 14.6482
_cell_angle_alpha 90.00
_cell_angle_beta 102.28
_cell_angle_gamma 90.00
_symmetry_space_group_name_H-M 'C 1 m 1'
_symmetry_Int_Tables_number 8
loop_
_symmetry_equiv_pos_as_xyz
'x,y,z'
'x,-y,z'
'x+1/2,y+1/2,z'
'x+1/2,-y+1/2,z'
loop_
_atom_site_label
_atom_site_fract_x
_atom_site_fract_y
_atom_site_fract_z
K1 0.0000 0.0000 0.0000
K2 0.2389 0.5000 0.2257
Rb1 0.0805 0.5000 0.7434
Rb2 0.1608 0.0000 0.4824
Br1 0.0776 0.0000 0.2335
Br2 0.1614 0.5000 0.9923

---

2.
# KRb2Br2 | Alexandria | PBE-GGA | optimized geometry
# distance to the lowest polymorph of the same formula	0.082	eV/atom
# formation energy from raw total energies	-1.20	eV per atom
data_KRb2Br2
_cell_length_a 6.3624
_cell_length_b 6.3624
_cell_length_c 14.6451
_cell_angle_alpha 90.00
_cell_angle_beta 90.00
_cell_angle_gamma 90.00
_symmetry_space_group_name_H-M 'I 4/m m m'
_symmetry_Int_Tables_number 139
_symmetry_space_group_name_Hall '-I 4 2'
loop_
_atom_site_label
_atom_site_fract_x
_atom_site_fract_y
_atom_site_fract_z
K1 0.0000 0.0000 0.0000
Rb1 0.0000 0.0000 0.3248
Br1 0.0000 0.5000 0.2500

---

3.
# KRbBr2 | Alexandria | PBE-GGA | optimized geometry
# distance to the lowest polymorph of the same formula	0.270	eV/atom
# formation energy from raw total energies	-1.48	eV per atom
data_KRbBr2
_cell_length_a 5.1055
_cell_length_b 5.1055
_cell_length_c 29.0090
_cell_angle_alpha 90.00
_cell_angle_beta 90.00
_cell_angle_gamma 120.00
_symmetry_space_group_name_H-M 'R -3 m'
_symmetry_Int_Tables_number 166
_symmetry_space_group_name_Hall '-R 3 2"'
loop_
_atom_site_label
_atom_site_fract_x
_atom_site_fract_y
_atom_site_fract_z
K1 0.0000 0.0000 0.0000
Rb1 0.0000 0.0000 0.5000
Br1 0.0000 0.0000 0.3926

---

4.
# KRb2Br2 | Alexandria | PBE-GGA | optimized geometry
# distance to the lowest polymorph of the same formula	0.010	eV/atom
# formation energy from raw total energies	-1.27	eV per atom
data_KRb2Br2
_cell_length_a 6.6296
_cell_length_b 6.6296
_cell_length_c 16.3427
_cell_angle_alpha 90.00
_cell_angle_beta 90.00
_cell_angle_gamma 90.00
_symmetry_space_group_name_H-M 'I 4/m m m'
_symmetry_Int_Tables_number 139
_symmetry_space_group_name_Hall '-I 4 2'
loop_
_atom_site_label
_atom_site_fract_x
_atom_site_fract_y
_atom_site_fract_z
K1 0.0000 0.0000 0.0000
Rb1 0.0000 0.5000 0.2500
Br1 0.0000 0.0000 0.1968

---

5.
# K3Rb2Br4 | Alexandria | PBE-GGA | optimized geometry
# formation energy from raw total energies	-1.52	eV per atom
data_K3Rb2Br4
_cell_length_a 16.1521
_cell_length_b 4.7559
_cell_length_c 12.0034
_cell_angle_alpha 90.00
_cell_angle_beta 119.26
_cell_angle_gamma 90.00
_symmetry_space_group_name_H-M 'C 1 2/m 1'
_symmetry_Int_Tables_number 12
loop_
_symmetry_equiv_pos_as_xyz
'x,y,z'
'-x,-y,-z'
'-x,y,-z'
'x,-y,z'
'x+1/2,y+1/2,z'
'-x+1/2,-y+1/2,-z'
'-x+1/2,y+1/2,-z'
'x+1/2,-y+1/2,z'
loop_
_atom_site_label
_atom_site_fract_x
_atom_site_fract_y
_atom_site_fract_z
K1 0.0000 0.0000 0.0000
K2 0.2039 0.0000 0.8114
Rb1 0.1012 0.5000 0.3990
Br1 0.1007 0.5000 0.9033
Br2 0.2019 0.0000 0.2895

---

6.
# K4RbBr5 | Alexandria | PBE-GGA | optimized geometry
# formation energy from raw total energies	-1.75	eV per atom
data_K4RbBr5
_cell_length_a 4.7795
_cell_length_b 4.7795
_cell_length_c 33.7425
_cell_angle_alpha 90.00
_cell_angle_beta 90.00
_cell_angle_gamma 90.00
_symmetry_space_group_name_H-M 'I 4/m m m'
_symmetry_Int_Tables_number 139
_symmetry_space_group_name_Hall '-I 4 2'
loop_
_atom_site_label
_atom_site_fract_x
_atom_site_fract_y
_atom_site_fract_z
K1 0.0000 0.0000 0.1013
K2 0.0000 0.0000 0.2993
Rb1 0.0000 0.0000 0.5000
Br1 0.0000 0.0000 0.0000
Br2 0.0000 0.0000 0.2005
Br3 0.0000 0.0000 0.3975

---

7.
# K3Rb2Br5 | Alexandria | PBE-GGA | optimized geometry
# formation energy from raw total energies	-1.71	eV per atom
data_K3Rb2Br5
_cell_length_a 17.1939
_cell_length_b 4.7427
_cell_length_c 12.2980
_cell_angle_alpha 90.00
_cell_angle_beta 125.77
_cell_angle_gamma 90.00
_symmetry_space_group_name_H-M 'C 1 2/m 1'
_symmetry_Int_Tables_number 12
loop_
_symmetry_equiv_pos_as_xyz
'x,y,z'
'-x,-y,-z'
'-x,y,-z'
'x,-y,z'
'x+1/2,y+1/2,z'
'-x+1/2,-y+1/2,-z'
'-x+1/2,y+1/2,-z'
'x+1/2,-y+1/2,z'
loop_
_atom_site_label
_atom_site_fract_x
_atom_site_fract_y
_atom_site_fract_z
K1 0.0000 0.0000 0.0000
K2 0.1147 0.5000 0.3735
Rb1 0.1727 0.0000 0.7727
Br1 0.0000 0.5000 0.5000
Br2 0.0962 0.5000 0.9127
Br3 0.2057 0.0000 0.3038

---

8.
# KRb2Br | Alexandria | PBE-GGA | optimized geometry
# distance to the lowest polymorph of the same formula	0.290	eV/atom
# formation energy from raw total energies	-0.54	eV per atom
data_KRb2Br
_cell_length_a 9.8558
_cell_length_b 9.8558
_cell_length_c 9.8558
_cell_angle_alpha 90.00
_cell_angle_beta 90.00
_cell_angle_gamma 90.00
_symmetry_space_group_name_H-M 'F m -3 m'
_symmetry_Int_Tables_number 225
_symmetry_space_group_name_Hall '-F 4 2 3'
loop_
_atom_site_label
_atom_site_fract_x
_atom_site_fract_y
_atom_site_fract_z
K1 0.0000 0.0000 0.0000
Rb1 0.2500 0.2500 0.2500
Br1 0.0000 0.0000 0.5000

---

9.
# K12Rb5Br3 | Alexandria | PBE-GGA | optimized geometry
# formation energy from raw total energies	-0.31	eV per atom
data_K12Rb5Br3
_cell_length_a 23.9426
_cell_length_b 23.9426
_cell_length_c 23.9426
_cell_angle_alpha 90.00
_cell_angle_beta 90.00
_cell_angle_gamma 90.00
_symmetry_space_group_name_H-M 'I a -3 d'
_symmetry_Int_Tables_number 230
_symmetry_space_group_name_Hall '-I 4bd 2c 3'
loop_
_atom_site_label
_atom_site_fract_x
_atom_site_fract_y
_atom_site_fract_z
K1 0.0120 0.1173 0.6378
Rb1 0.0000 0.0000 0.0000
Rb2 0.0000 0.2500 0.3750
Br1 0.0000 0.2500 0.1250

---

10.
# K5RbBr7 | Alexandria | PBE-GGA | optimized geometry
# formation energy from raw total energies	-1.55	eV per atom
data_K5RbBr7
_cell_length_a 16.2241
_cell_length_b 4.8167
_cell_length_c 26.6449
_cell_angle_alpha 90.00
_cell_angle_beta 90.10
_cell_angle_gamma 90.00
_symmetry_space_group_name_H-M 'C 1 m 1'
_symmetry_Int_Tables_number 8
loop_
_symmetry_equiv_pos_as_xyz
'x,y,z'
'x,-y,z'
'x+1/2,y+1/2,z'
'x+1/2,-y+1/2,z'
loop_
_atom_site_label
_atom_site_fract_x
_atom_site_fract_y
_atom_site_fract_z
K1 0.0000 0.0000 0.0000
K2 0.9998 0.0000 0.2031
K3 0.0283 0.5000 0.3507
K4 0.0281 0.5000 0.8525
K5 0.0562 0.0000 0.4992
K6 0.0557 0.0000 0.7041
K7 0.2537 0.0000 0.2772
K8 0.2539 0.0000 0.9260
K9 0.3020 0.5000 0.7794
K10 0.3027 0.5000 0.4238
Rb1 0.2239 0.5000 0.1010
Rb2 0.3332 0.0000 0.6024
Br1 0.0894 0.0000 0.1017
Br2 0.1268 0.5000 0.2440
Br3 0.1272 0.5000 0.9594
Br4 0.1643 0.0000 0.8111
Br5 0.1647 0.0000 0.3923
Br6 0.1924 0.5000 0.6563
Br7 0.1928 0.5000 0.5478
Br8 0.3640 0.0000 0.0468
Br9 0.3637 0.0000 0.1557
Br10 0.3914 0.5000 0.3092
Br11 0.3915 0.5000 0.8938
Br12 0.4290 0.0000 0.7456
Br13 0.4298 0.0000 0.4574
Br14 0.4683 0.5000 0.6015

---

11.
# K3RbBr | Alexandria | PBE-GGA | optimized geometry
# distance to the lowest polymorph of the same formula	0.583	eV/atom
# formation energy from raw total energies	-0.03	eV per atom
data_K3RbBr
_cell_length_a 7.7776
_cell_length_b 7.7776
_cell_length_c 7.7776
_cell_angle_alpha 90.00
_cell_angle_beta 90.00
_cell_angle_gamma 90.00
_symmetry_space_group_name_H-M 'P m -3 m'
_symmetry_Int_Tables_number 221
_symmetry_space_group_name_Hall '-P 4 2 3'
loop_
_atom_site_label
_atom_site_fract_x
_atom_site_fract_y
_atom_site_fract_z
K1 0.0000 0.0000 0.5000
Rb1 0.0000 0.0000 0.0000
Br1 0.5000 0.5000 0.5000

---

12.
# K2Rb2Br | Alexandria | PBE-GGA | optimized geometry
# distance to the lowest polymorph of the same formula	0.000	eV/atom
# formation energy from raw total energies	-0.55	eV per atom
data_K2Rb2Br
_cell_length_a 9.2256
_cell_length_b 9.2256
_cell_length_c 8.4765
_cell_angle_alpha 90.00
_cell_angle_beta 90.00
_cell_angle_gamma 90.00
_symmetry_space_group_name_H-M 'P 4/m b m'
_symmetry_Int_Tables_number 127
_symmetry_space_group_name_Hall '-P 4 2ab'
loop_
_atom_site_label
_atom_site_fract_x
_atom_site_fract_y
_atom_site_fract_z
K1 0.1670 0.3330 0.0000
Rb1 0.1843 0.6843 0.5000
Br1 0.0000 0.0000 0.5000